(1)
# Ba3Zn8

A relaxed Ba3Zn8 crystal (GGA-PBE, Alexandria).

Geometry as extended XYZ:
```
11
Lattice="-4.2393 1.5270 -0.2097 -1.0513 -2.3962 3.8033 6.1612 11.2666 5.9993" Properties=species:S:1:pos:R:3 pbc="T T T"
Ba 0.0000 0.0000 0.0000
Ba 0.5417 2.0903 4.2684
Ba 0.3289 8.3071 5.3245
Zn -0.8848 4.9890 5.7003
Zn 1.7555 5.4084 3.8926
Zn -2.2885 0.6645 2.5879
Zn 3.1592 9.7329 7.0051
Zn 2.2859 7.4639 8.1360
Zn -1.4153 2.9335 1.4569
Zn 1.5816 5.2938 6.5741
Zn -0.7109 5.1036 3.0188
```

E: -1.6377 eV per atom
ΔH_f (0 K): -0.187 eV/atom
Space-group type: No. 71

(2)
# Ba3Zn

A relaxed Ba3Zn crystal (GGA-PBE, Alexandria).

Geometry as extended XYZ:
```
4
Lattice="12.4192 0.0332 0.0196 11.5879 4.4675 0.0196 11.5879 2.1724 3.9037" Properties=species:S:1:pos:R:3 pbc="T T T"
Ba 25.9144 4.8582 2.8706
Ba 17.7975 3.3365 1.9715
Ba 9.6805 1.8148 1.0723
Zn 0.0000 0.0000 0.0000
```

E: -1.7492 eV per atom
ΔH_f (0 K): 0.011 eV/atom
Space-group type: No. 166

(3)
# Ba2Zn3

A relaxed Ba2Zn3 crystal (GGA-PBE, Alexandria).

Geometry as extended XYZ:
```
5
Lattice="-7.0020 -3.0271 -4.9271 -5.0497 -6.9259 -3.0000 -8.0243 -4.2301 -0.4289" Properties=species:S:1:pos:R:3 pbc="T T T"
Ba -11.6961 -8.2631 -4.8682
Ba -8.3798 -5.9201 -3.4878
Zn 0.0000 0.0000 0.0000
Zn -3.3310 -2.3533 -1.3864
Zn -16.7450 -11.8300 -6.9696
```

E: -1.6540 eV per atom
ΔH_f (0 K): -0.121 eV/atom
Space-group type: No. 166

(4)
# BaZn5

A relaxed BaZn5 crystal (GGA-PBE, Alexandria).

Geometry as extended XYZ:
```
6
Lattice="-3.6885 -1.0073 2.8215 2.4480 -4.4304 1.6186 1.0729 4.9363 3.1649" Properties=species:S:1:pos:R:3 pbc="T T T"
Zn 2.0224 -1.2693 2.1907
Zn 1.4985 1.7752 2.5927
Zn -0.6203 -2.7188 2.2201
Zn -0.6793 0.8764 3.4264
Zn 0.5117 -1.3778 4.1786
Ba 0.0000 0.0000 0.0000
```

E: -1.3927 eV per atom
ΔH_f (0 K): -0.011 eV/atom
Space-group type: No. 65

(5)
# Ba3Zn2

A relaxed Ba3Zn2 crystal (GGA-PBE, Alexandria).

Geometry as extended XYZ:
```
5
Lattice="5.8311 0.0000 0.0000 -2.9155 5.0499 0.0000 0.0000 0.0000 7.0587" Properties=species:S:1:pos:R:3 pbc="T T T"
Ba 0.0000 0.0000 0.0000
Ba 2.9155 1.6833 4.7706
Ba 0.0000 3.3666 2.2881
Zn 2.9155 1.6833 1.1137
Zn 0.0000 3.3666 5.9450
```

E: -1.7454 eV per atom
E above lowest polymorph: 0.046 eV per atom
ΔH_f (0 K): -0.082 eV/atom
Space-group type: No. 164

(6)
# BaZn3

A relaxed BaZn3 crystal (GGA-PBE, Alexandria).

Geometry as extended XYZ:
```
8
Lattice="-1.8499 -5.1884 -2.2975 1.8085 -2.8296 4.9339 -5.3785 0.8331 2.4493" Properties=species:S:1:pos:R:3 pbc="T T T"
Ba 0.0000 0.0000 0.0000
Ba -2.7099 -3.5925 2.5428
Zn -0.4832 -5.3061 0.7438
Zn 0.4418 -2.7119 1.8926
Zn -1.3328 -1.7057 4.9250
Zn -2.2371 -0.2909 2.4581
Zn -2.2696 -2.3860 -0.5364
Zn -4.9588 -1.9694 0.6882
```

E: -1.3735 eV per atom
ΔH_f (0 K): 0.063 eV/atom
Space-group type: No. 223

(7)
# Ba2Zn

A relaxed Ba2Zn crystal (GGA-PBE, Alexandria).

Geometry as extended XYZ:
```
6
Lattice="8.0118 -0.0110 -0.0011 6.8439 4.1654 -0.0011 0.0022 0.0006 8.1437" Properties=species:S:1:pos:R:3 pbc="T T T"
Ba 13.6909 3.8286 7.3521
Ba 5.2971 1.4813 3.2765
Ba 9.8713 2.7605 6.0410
Ba 9.1166 2.5494 1.9730
Zn 0.3733 0.1044 4.2508
Zn 3.7481 1.0481 0.1740
```

E: -1.7953 eV per atom
ΔH_f (0 K): -0.089 eV/atom
Space-group type: No. 8

(8)
# BaZn3

A relaxed BaZn3 crystal (GGA-PBE, Alexandria).

Geometry as extended XYZ:
```
4
Lattice="5.1790 0.0000 0.0000 2.5895 4.4851 0.0000 2.5895 1.4950 4.2286" Properties=species:S:1:pos:R:3 pbc="T T T"
Ba 0.0000 0.0000 0.0000
Zn 2.5895 1.4950 1.0572
Zn 5.1790 2.9901 2.1143
Zn 7.7684 4.4851 3.1715
```

E: -1.4271 eV per atom
ΔH_f (0 K): 0.009 eV/atom
Space-group type: No. 225

(9)
# Ba2Zn

A relaxed Ba2Zn crystal (GGA-PBE, Alexandria).

Geometry as extended XYZ:
```
6
Lattice="2.9099 -5.0401 0.0000 2.9099 5.0401 0.0000 0.0000 0.0000 7.7077" Properties=species:S:1:pos:R:3 pbc="T T T"
Ba 2.9099 -1.6800 3.6207
Ba 2.9099 1.6800 7.4745
Ba 2.9099 1.6800 4.0870
Ba 2.9099 -1.6800 0.2332
Zn 0.0000 0.0000 1.9269
Zn 0.0000 0.0000 5.7808
```

E: -1.4669 eV per atom
ΔH_f (0 K): 0.240 eV/atom
Space-group type: No. 194

(10)
# Ba3Zn

A relaxed Ba3Zn crystal (GGA-PBE, Alexandria).

Geometry as extended XYZ:
```
4
Lattice="4.2198 0.0114 0.0000 -0.0123 4.2199 0.0000 0.0000 0.0000 10.9525" Properties=species:S:1:pos:R:3 pbc="T T T"
Zn 2.1038 2.1156 2.7381
Ba 0.0000 0.0000 0.8127
Ba 2.1038 2.1156 8.2144
Ba 0.0000 0.0000 4.6636
```

E: -1.8398 eV per atom
ΔH_f (0 K): -0.079 eV/atom
Space-group type: No. 123

(11)
# Ba3Zn

A relaxed Ba3Zn crystal (GGA-PBE, Alexandria).

Geometry as extended XYZ:
```
4
Lattice="-2.8136 -1.4471 -3.0273 3.2718 -1.6610 -2.2469 -1.0782 -9.8449 5.7080" Properties=species:S:1:pos:R:3 pbc="T T T"
Zn -1.0687 -9.7580 5.6576
Ba 1.1410 -5.3497 1.4968
Ba 0.1005 -2.7282 -1.9563
Ba -2.2304 -8.2437 2.8464
```

E: -1.7162 eV per atom
ΔH_f (0 K): 0.044 eV/atom
Space-group type: No. 25

(12)
# Ba3Zn4

A relaxed Ba3Zn4 crystal (GGA-PBE, Alexandria).

Geometry as extended XYZ:
```
14
Lattice="4.6092 0.0000 0.0000 -2.3046 6.1428 -0.0022 0.0000 -0.0076 15.6594" Properties=species:S:1:pos:R:3 pbc="T T T"
Ba 2.3046 2.9515 1.6092
Ba 0.0000 3.2133 14.0564
Ba 2.3046 2.9438 6.2305
Ba 0.0000 3.2178 9.4381
Ba 0.0000 0.2069 3.9193
Ba 2.3046 5.9523 11.7494
Zn 0.0000 3.8944 3.9218
Zn 2.3046 2.2626 11.7441
Zn 0.0000 5.5295 1.1873
Zn 0.0000 0.0203 0.0063
Zn 0.0000 5.5206 6.6501
Zn 2.3046 0.6374 14.4793
Zn 0.0000 0.0142 7.8333
Zn 2.3046 0.6417 9.0230
```

E: -1.7098 eV per atom
ΔH_f (0 K): -0.158 eV/atom
Space-group type: No. 8